Entry 1:
! Nd2ErPu3Se6 GGA-PBE relaxed; values from VASP
! Crystal system: monoclinic
! Theoretical density: 9.06 g/cm3
! E_tot: -98.1 eV for the cell shown
! E_form (uncorrected): -1.676 eV per atom
&SYSTEM
  ibrav = 0, nat = 12, ntyp = 4
/
ATOMIC_SPECIES
Nd 144.24 Nd.upf
Er 167.26 Er.upf
Pu 244.00 Pu.upf
Se 78.96 Se.upf
ATOMIC_POSITIONS crystal
Nd 0.834 0.664 0.667
Nd 0.166 0.336 0.333
Er 0.500 0.000 0.000
Pu 0.500 0.500 0.000
Pu 0.831 0.165 0.662
Pu 0.169 0.835 0.338
Se 0.336 0.923 0.673
Se 0.665 0.589 0.331
Se 0.664 0.077 0.327
Se 0.998 0.242 0.995
Se 0.002 0.758 0.005
Se 0.335 0.411 0.669
CELL_PARAMETERS angstrom
-2.667 2.224 2.268
-3.680 -7.014 2.550
7.735 0.181 5.126

Entry 2:
! NdErPu2Se4 GGA-PBE relaxed; values from VASP
! Crystal system: monoclinic
! Theoretical density: 9.23 g/cm3
! E_tot: -65.3 eV for the cell shown
! E_form (uncorrected): -1.667 eV per atom
&SYSTEM
  ibrav = 0, nat = 8, ntyp = 4
/
ATOMIC_SPECIES
Nd 144.24 Nd.upf
Er 167.26 Er.upf
Pu 244.00 Pu.upf
Se 78.96 Se.upf
ATOMIC_POSITIONS crystal
Nd 0.000 0.000 0.000
Er 0.500 0.500 0.000
Pu 0.500 0.000 0.500
Pu 0.000 0.500 0.500
Se 0.500 0.258 0.252
Se 0.500 0.742 0.748
Se 0.000 0.259 0.754
Se 0.000 0.741 0.246
CELL_PARAMETERS angstrom
-0.443 0.045 4.099
3.590 -6.174 0.456
4.648 5.490 0.442

Entry 3:
! NdEr3Pu2Se6 GGA-PBE relaxed; values from VASP
! Crystal system: monoclinic
! Theoretical density: 9.09 g/cm3
! E_tot: -88.3 eV for the cell shown
! E_form (uncorrected): -1.692 eV per atom
&SYSTEM
  ibrav = 0, nat = 12, ntyp = 4
/
ATOMIC_SPECIES
Nd 144.24 Nd.upf
Er 167.26 Er.upf
Pu 244.00 Pu.upf
Se 78.96 Se.upf
ATOMIC_POSITIONS crystal
Nd 0.000 0.000 0.000
Er 0.165 0.835 0.500
Er 0.835 0.165 0.500
Er 0.500 0.500 0.500
Pu 0.333 0.667 0.000
Pu 0.667 0.333 0.000
Se 0.913 0.575 0.738
Se 0.749 0.749 0.261
Se 0.087 0.425 0.262
Se 0.575 0.913 0.738
Se 0.251 0.251 0.739
Se 0.425 0.087 0.262
CELL_PARAMETERS angstrom
-4.259 0.283 -5.647
5.750 -4.128 -0.098
-4.141 -3.848 4.409

Entry 4:
! Nd3ErPu2Se6 GGA-PBE relaxed; values from VASP
! Crystal system: monoclinic
! Theoretical density: 8.43 g/cm3
! E_tot: -89.2 eV for the cell shown
! E_form (uncorrected): -1.730 eV per atom
&SYSTEM
  ibrav = 0, nat = 12, ntyp = 4
/
ATOMIC_SPECIES
Nd 144.24 Nd.upf
Er 167.26 Er.upf
Pu 244.00 Pu.upf
Se 78.96 Se.upf
ATOMIC_POSITIONS crystal
Nd 0.169 0.831 0.500
Nd 0.831 0.169 0.500
Nd 0.500 0.500 0.500
Er 0.000 0.000 0.000
Pu 0.334 0.666 0.000
Pu 0.666 0.334 0.000
Se 0.921 0.592 0.762
Se 0.752 0.752 0.242
Se 0.079 0.408 0.238
Se 0.592 0.921 0.762
Se 0.248 0.248 0.758
Se 0.408 0.079 0.238
CELL_PARAMETERS angstrom
-6.683 -2.086 -1.654
5.527 -4.492 -1.013
-0.429 -0.244 7.252

Entry 5:
! Nd2Er3PuSe6 GGA-PBE relaxed; values from VASP
! Crystal system: monoclinic
! Theoretical density: 8.44 g/cm3
! E_tot: -79.3 eV for the cell shown
! E_form (uncorrected): -1.738 eV per atom
&SYSTEM
  ibrav = 0, nat = 12, ntyp = 4
/
ATOMIC_SPECIES
Nd 144.24 Nd.upf
Er 167.26 Er.upf
Pu 244.00 Pu.upf
Se 78.96 Se.upf
ATOMIC_POSITIONS crystal
Nd 0.834 0.667 0.668
Nd 0.166 0.333 0.332
Er 0.500 0.500 0.000
Er 0.833 0.164 0.665
Er 0.167 0.836 0.335
Pu 0.500 0.000 0.000
Se 0.331 0.926 0.663
Se 0.663 0.594 0.326
Se 0.669 0.074 0.337
Se 0.996 0.254 0.992
Se 0.004 0.746 0.008
Se 0.337 0.406 0.674
CELL_PARAMETERS angstrom
-2.060 -1.263 -3.280
6.148 -5.324 -1.811
-4.545 -4.074 6.953

Entry 6:
! Nd3Sm2Er6Pu GGA-PBE relaxed; values from VASP
! Crystal system: monoclinic
! Energy of formation from the pure elements: 42 meV/atom
! Theoretical density: 8.64 g/cm3
! E_tot: -64.9 eV for the cell shown
&SYSTEM
  ibrav = 0, nat = 12, ntyp = 4
/
ATOMIC_SPECIES
Nd 144.24 Nd.upf
Sm 150.36 Sm.upf
Er 167.26 Er.upf
Pu 244.00 Pu.upf
ATOMIC_POSITIONS crystal
Nd 0.167 0.833 0.500
Nd 0.833 0.167 0.500
Nd 0.500 0.500 0.500
Sm 0.333 0.667 0.000
Sm 0.667 0.333 0.000
Er 0.918 0.590 0.754
Er 0.753 0.753 0.246
Er 0.082 0.410 0.246
Er 0.590 0.918 0.754
Er 0.247 0.247 0.754
Er 0.410 0.082 0.246
Pu 0.000 0.000 0.000
CELL_PARAMETERS angstrom
-0.824 3.467 -5.053
4.456 -4.285 0.118
-8.594 -7.519 -2.496

In the order shown, the computed Fermi-level density of states values come out to 28.82, 18.29, 18.37, 19.60, 9.80, 22.27 states/eV per cell.